SrCd2MoO6 | Alexandria | GGA+U | optimized geometry; total DFT energy (no corrections) = -113.5 eV/cell; size of the total moment = 0.0 μB/f.u.; SG = No. 14
1.0
5.7336 0.0000 -0.0611
0.0000 5.8603 0.0000
-0.0380 0.0000 8.4085
Sr Cd Mo O
2 4 2 12
direct
0.5000 0.0000 0.0000
0.0000 0.5000 0.5000
0.9895 0.9690 0.2640
0.4895 0.5310 0.7640
0.0105 0.0310 0.7360
0.5105 0.4690 0.2360
0.5000 0.0000 0.5000
0.0000 0.5000 0.0000
0.2969 0.6431 0.0414
0.7969 0.8569 0.5414
0.7031 0.3569 0.9586
0.2031 0.1431 0.4586
0.3732 0.7196 0.4109
0.8732 0.7804 0.9109
0.6268 0.2804 0.5891
0.1268 0.2196 0.0891
0.8895 0.6028 0.2154
0.3895 0.8972 0.7154
0.1105 0.3972 0.7846
0.6105 0.1028 0.2846